# 1
Below is a geometry-optimized BaGa2Ni structure, with properties calculated at the PBE level.

Computed properties:
E	-13.108	eV/cell
spin magnetization	0.0	μB/cell

Cell lengths 4.9876, 4.9876, 4.9876 Å; angles 60.00, 60.00, 60.00 degrees
Fractional coordinates of all 4 atoms:
1 Ga 0.5000 0.5000 0.5000
2 Ba 0.2500 0.2500 0.2500
3 Ga 0.7500 0.7500 0.7500
4 Ni 0.0000 0.0000 0.0000



# 2
Below is a geometry-optimized Ta4Al9 structure, with properties calculated at the PBE level.

Computed properties:
E	-82.499	eV/cell
spin magnetization	0.0	μB/cell

Cell lengths 9.5475, 9.5475, 9.5475 Å; angles 32.04, 32.04, 32.04 degrees
Fractional coordinates of all 13 atoms:
1 Al 0.6498 0.6498 0.6498
2 Al 0.3502 0.3502 0.3502
3 Ta 0.8323 0.8323 0.8323
4 Ta 0.1677 0.1677 0.1677
5 Al 0.0879 0.0879 0.5862
6 Al 0.9121 0.9121 0.4138
7 Al 0.4138 0.9122 0.9121
8 Al 0.9122 0.4138 0.9121
9 Ta 0.4531 0.4531 0.4531
10 Al 0.0878 0.5862 0.0879
11 Ta 0.5469 0.5469 0.5469
12 Al 0.0000 0.0000 0.0000
13 Al 0.5862 0.0878 0.0879



# 3
Below is a geometry-optimized Pr2TmMg3InGa2 structure, with properties calculated at the PBE level.

Computed properties:
E	-31.557	eV/cell
spin magnetization	0.0	μB/cell

Cell lengths 4.6259, 7.4192, 7.4192 Å; angles 119.04, 90.00, 90.00 degrees
Fractional coordinates of all 9 atoms:
1 Ga 0.5000 0.3405 0.6638
2 Pr 0.0000 0.4381 0.0022
3 Pr 0.0000 0.0022 0.4381
4 Mg 0.5000 0.7514 0.9989
5 Mg 0.5000 0.9989 0.7514
6 In 0.0000 0.9907 0.9907
7 Tm 0.0000 0.5655 0.5655
8 Ga 0.5000 0.6638 0.3405
9 Mg 0.5000 0.2489 0.2489



# 4
Below is a geometry-optimized ZrCd2Sb2 structure, with properties calculated at the PBE level.

Computed properties:
E	-35.685	eV/cell
spin magnetization	0.0	μB/cell

Cell lengths 10.4492, 8.0960, 7.8291 Å; angles 82.00, 50.11, 47.90 degrees
Fractional coordinates of all 10 atoms:
1 Zr 0.5000 0.5000 0.5000
2 Cd 0.9053 0.9053 0.0947
3 Cd 0.3447 0.3447 0.1553
4 Sb 0.6250 0.6250 0.1250
5 Cd 0.0947 0.0947 0.9053
6 Zr 0.7500 0.7500 0.7500
7 Sb 0.1250 0.6250 0.6250
8 Cd 0.1553 0.1553 0.3447
9 Sb 0.6250 0.1250 0.6250
10 Sb 0.6250 0.6250 0.6250